A:
DFT (GGA-PBE) results for a geometry-optimized Ce2ThGe structure.

Results
The density of states at the Fermi level is 2.42 states/eV per atom. Its space group is No. 123.

The structure in POSCAR format:
```
Ce2ThGe
1.0
3.881 0.000 0.000
0.000 3.881 0.000
0.000 0.000 7.102
Ce Th Ge
2 1 1
direct
0.000 0.000 0.199
0.000 0.000 0.801
0.500 0.500 0.500
0.500 0.500 0.000
```

=====

B:
DFT (GGA-PBE) results for a geometry-optimized Ce2ThGe structure.

Results
The density of states at the Fermi level is 2.88 states/eV per atom. Its space group is No. 225.

The structure in POSCAR format:
```
Ce2ThGe
1.0
0.000 3.733 3.733
3.733 0.000 3.733
3.733 3.733 0.000
Ce Th Ge
2 1 1
direct
0.250 0.250 0.250
0.750 0.750 0.750
0.000 0.000 0.000
0.500 0.500 0.500
```

=====

A (26.5 kJ/mol of atoms below the next structure)